No. 1
A plane-wave DFT calculation with PBE was carried out for an optimized crystal structure of ErMgCd.

SG ... No. 187

abc: 5.0187 5.0187 3.3873
angles: 90.00 90.00 120.00
Positions (direct):
Er 0.0000 0.0000 0.0000
Mg 0.3333 0.6667 0.5000
Cd 0.6667 0.3333 0.5000

No. 2
A plane-wave DFT calculation with PBE was carried out for an optimized crystal structure of LiTmAu.

SG ... No. 71
Offset from the most stable computed form ... 11.4 kJ per mole of atoms

abc: 3.4443 4.8492 16.1953
angles: 90.00 90.00 90.00
Positions (direct):
Li 0.0000 0.2495 0.0000
Li 0.0000 0.7505 0.0000
Li 0.5000 0.2505 0.5000
Li 0.5000 0.7495 0.5000
Tm 0.0000 0.0000 0.3264
Tm 0.0000 0.0000 0.6736
Tm 0.5000 0.5000 0.1736
Tm 0.5000 0.5000 0.8264
Au 0.0000 0.0000 0.1469
Au 0.0000 0.0000 0.8531
Au 0.5000 0.5000 0.3531
Au 0.5000 0.5000 0.6469

Short version: VASP energy = -2.559 -3.659 eV per atom, in the order given.
Short version: V = 73.9 270.5 Å³ per cell, in the order given.
Short version: DOS(E_F) = 1.084 0.626 states/eV/atom, in the order given.